Entry 1:
Here is crystalline Mg2FeRu at its relaxed geometry from the Alexandria database. Energies are from GGA-PBEsol.

Results
- ΔH_f (0 K) (meV per atom) = 351.1
- excess energy over the best structure of this formula in the dataset (eV per atom) = 0.2429
- crystal system = cubic

Lattice parameters (Å, degrees): 4.379 4.379 4.379 60.00 60.00 60.00
Sites, in units of the cell vectors:
Mg 0.250 0.250 0.250
Mg 0.750 0.750 0.750
Fe 0.000 0.000 0.000
Ru 0.500 0.500 0.500



Entry 2:
Here is crystalline MgFe3S at its relaxed geometry from the Alexandria database. Energies are from GGA-PBEsol.

Results
- crystal system = cubic
- formation energy without anion corrections (eV/atom) = 1.767

Lattice parameters (Å, degrees): 4.422 4.422 4.422 90.00 90.00 90.00
Sites, in units of the cell vectors:
Mg 0.000 0.000 0.000
Fe 0.000 0.000 0.500
Fe 0.000 0.500 0.000
Fe 0.500 0.000 0.000
S 0.500 0.500 0.500



Entry 3:
Here is crystalline Mg3FeS at its relaxed geometry from the Alexandria database. Energies are from GGA-PBEsol.

Results
- crystal system = cubic
- formation energy without anion corrections (eV/atom) = 0.326

Lattice parameters (Å, degrees): 4.742 4.742 4.742 90.00 90.00 90.00
Sites, in units of the cell vectors:
Mg 0.000 0.000 0.500
Mg 0.000 0.500 0.000
Mg 0.500 0.000 0.000
Fe 0.500 0.500 0.500
S 0.000 0.000 0.000



Entry 4:
Here is crystalline MgFeS3 at its relaxed geometry from the Alexandria database. Energies are from GGA-PBEsol.

Results
- crystal system = cubic
- formation energy without anion corrections (eV/atom) = -0.139

Lattice parameters (Å, degrees): 4.465 4.465 4.465 90.00 90.00 90.00
Sites, in units of the cell vectors:
Mg 0.000 0.000 0.000
Fe 0.500 0.500 0.500
S 0.000 0.500 0.500
S 0.500 0.000 0.500
S 0.500 0.500 0.000



Entry 5:
Here is crystalline Mg2FeSb at its relaxed geometry from the Alexandria database. Energies are from GGA-PBEsol.

Results
- excess energy over the best structure of this formula in the dataset (eV per atom) = 0.0000
- crystal system = orthorhombic
- formation energy without anion corrections (eV/atom) = 0.214

Lattice parameters (Å, degrees): 5.056 5.056 3.180 90.00 90.00 111.51
Sites, in units of the cell vectors:
Mg 0.000 0.500 0.000
Mg 0.500 0.000 0.000
Fe 0.000 0.000 0.500
Sb 0.500 0.500 0.500



Entry 6:
Here is crystalline MgFe2Sb at its relaxed geometry from the Alexandria database. Energies are from GGA-PBEsol.

Results
- crystal system = tetragonal
- formation energy without anion corrections (eV/atom) = 0.159

Lattice parameters (Å, degrees): 3.118 3.118 6.729 90.00 90.00 90.00
Sites, in units of the cell vectors:
Mg 0.000 0.000 0.000
Fe 0.000 0.000 0.590
Fe 0.500 0.500 0.760
Sb 0.500 0.500 0.359



Entry 7:
Here is crystalline Mg2FeSb at its relaxed geometry from the Alexandria database. Energies are from GGA-PBEsol.

Results
- excess energy over the best structure of this formula in the dataset (eV per atom) = 0.0466
- crystal system = trigonal
- formation energy without anion corrections (eV/atom) = 0.260

Lattice parameters (Å, degrees): 9.460 9.460 9.460 18.94 18.94 18.94
Sites, in units of the cell vectors:
Mg 0.239 0.239 0.239
Mg 0.761 0.761 0.761
Fe 0.500 0.500 0.500
Sb 0.000 0.000 0.000



Entry 8:
Here is crystalline MgFe2Sb at its relaxed geometry from the Alexandria database. Energies are from GGA-PBEsol.

Results
- crystal system = tetragonal
- formation energy without anion corrections (eV/atom) = 0.263

Lattice parameters (Å, degrees): 3.080 3.080 5.964 90.00 90.00 90.00
Sites, in units of the cell vectors:
Mg 0.000 0.000 0.000
Fe 0.500 0.500 0.269
Fe 0.500 0.500 0.731
Sb 0.000 0.000 0.500



Entry 9:
Here is crystalline MgScFe2 at its relaxed geometry from the Alexandria database. Energies are from GGA-PBEsol.

Results
- ΔH_f (0 K) (meV per atom) = 79.3
- crystal system = tetragonal

Lattice parameters (Å, degrees): 3.021 3.021 7.011 90.00 90.00 90.00
Sites, in units of the cell vectors:
Mg 0.000 0.000 0.000
Sc 0.500 0.500 0.356
Fe 0.000 0.000 0.594
Fe 0.500 0.500 0.753



Entry 10:
Here is crystalline MgScFe2 at its relaxed geometry from the Alexandria database. Energies are from GGA-PBEsol.

Results
- ΔH_f (0 K) (meV per atom) = 233.9
- crystal system = tetragonal

Lattice parameters (Å, degrees): 4.611 4.611 4.611 127.74 127.74 77.04
Sites, in units of the cell vectors:
Mg 0.000 0.000 0.000
Sc 0.500 0.500 0.000
Fe 0.250 0.750 0.500
Fe 0.750 0.250 0.500



Entry 11:
Here is crystalline MgFe2Se at its relaxed geometry from the Alexandria database. Energies are from GGA-PBEsol.

Results
- excess energy over the best structure of this formula in the dataset (eV per atom) = 0.0000
- crystal system = tetragonal
- formation energy without anion corrections (eV/atom) = 0.203

Lattice parameters (Å, degrees): 3.192 3.192 5.588 90.00 90.00 90.00
Sites, in units of the cell vectors:
Mg 0.000 0.000 0.000
Fe 0.500 0.500 0.286
Fe 0.500 0.500 0.714
Se 0.000 0.000 0.500



Entry 12:
Here is crystalline MgFe2Se at its relaxed geometry from the Alexandria database. Energies are from GGA-PBEsol.

Results
- excess energy over the best structure of this formula in the dataset (eV per atom) = 0.0905
- crystal system = trigonal
- formation energy without anion corrections (eV/atom) = 0.293

Lattice parameters (Å, degrees): 8.117 8.117 8.117 20.64 20.64 20.64
Sites, in units of the cell vectors:
Mg 0.000 0.000 0.000
Fe 0.241 0.241 0.241
Fe 0.759 0.759 0.759
Se 0.500 0.500 0.500



Entry 13:
Here is crystalline MgFe2Si at its relaxed geometry from the Alexandria database. Energies are from GGA-PBEsol.

Results
- crystal system = tetragonal
- formation energy without anion corrections (eV/atom) = -0.036

Lattice parameters (Å, degrees): 4.000 4.000 2.878 90.00 90.00 90.00
Sites, in units of the cell vectors:
Mg 0.000 0.000 0.000
Fe 0.000 0.500 0.500
Fe 0.500 0.000 0.500
Si 0.500 0.500 0.000



Entry 14:
Here is crystalline MgFeSi at its relaxed geometry from the Alexandria database. Energies are from GGA-PBEsol.

Results
- crystal system = tetragonal
- formation energy without anion corrections (eV/atom) = -0.230

Lattice parameters (Å, degrees): 5.064 5.064 5.064 146.35 146.35 48.32
Sites, in units of the cell vectors:
Mg 0.000 0.000 0.000
Fe 0.310 0.310 0.000
Si 0.704 0.704 0.000



Entry 15:
Here is crystalline MgFe2Si at its relaxed geometry from the Alexandria database. Energies are from GGA-PBEsol.

Results
- crystal system = trigonal
- formation energy without anion corrections (eV/atom) = 0.089

Lattice parameters (Å, degrees): 8.251 8.251 8.251 18.78 18.78 18.78
Sites, in units of the cell vectors:
Mg 0.000 0.000 0.000
Fe 0.242 0.242 0.242
Fe 0.758 0.758 0.758
Si 0.500 0.500 0.500



Entry 16:
Here is crystalline MgFeSi2 at its relaxed geometry from the Alexandria database. Energies are from GGA-PBEsol.

Results
- crystal system = tetragonal
- formation energy without anion corrections (eV/atom) = -0.101

Lattice parameters (Å, degrees): 3.015 3.015 6.067 90.00 90.00 90.00
Sites, in units of the cell vectors:
Mg 0.000 0.000 0.000
Fe 0.500 0.500 0.691
Si 0.000 0.000 0.548
Si 0.500 0.500 0.306



Entry 17:
Here is crystalline Mg2FeSi at its relaxed geometry from the Alexandria database. Energies are from GGA-PBEsol.

Results
- crystal system = orthorhombic
- formation energy without anion corrections (eV/atom) = 0.190

Lattice parameters (Å, degrees): 2.912 3.906 5.431 90.00 90.00 90.00
Sites, in units of the cell vectors:
Mg 0.000 0.000 0.243
Mg 0.000 0.000 0.757
Fe 0.500 0.500 0.000
Si 0.500 0.500 0.500



Entry 18:
Here is crystalline Mg2FeSi at its relaxed geometry from the Alexandria database. Energies are from GGA-PBEsol.

Results
- crystal system = tetragonal
- formation energy without anion corrections (eV/atom) = 0.193

Lattice parameters (Å, degrees): 2.753 2.753 8.247 90.00 90.00 90.00
Sites, in units of the cell vectors:
Mg 0.000 0.000 0.233
Mg 0.000 0.000 0.767
Fe 0.500 0.500 0.000
Si 0.500 0.500 0.500



Entry 19:
Here is crystalline MgFeSi at its relaxed geometry from the Alexandria database. Energies are from GGA-PBEsol.

Results
- crystal system = cubic
- formation energy without anion corrections (eV/atom) = 0.155

Lattice parameters (Å, degrees): 3.977 3.977 3.977 60.00 60.00 60.00
Sites, in units of the cell vectors:
Mg 0.000 0.000 0.000
Fe 0.250 0.250 0.250
Si 0.500 0.500 0.500



Entry 20:
Here is crystalline SrMgFe at its relaxed geometry from the Alexandria database. Energies are from GGA-PBEsol.

Results
- ΔH_f (0 K) (meV per atom) = 624.1
- crystal system = hexagonal

Lattice parameters (Å, degrees): 4.812 4.812 3.808 90.00 90.00 120.00
Sites, in units of the cell vectors:
Sr 0.000 0.000 0.000
Mg 0.667 0.333 0.500
Fe 0.333 0.667 0.500